24
Lattice="5.1046 0.0000 0.0000 1.6754 5.6168 0.0000 1.7165 1.0395 7.3234" Properties=species:S:1:pos:R:3 comment="Li7Mn2Co3O12, relaxed, DFT GGA+U" relative_energy_mev_per_atom=24 mass_density_g_cm3=4.17 pbc="T T T"
Li 0.0000 0.0000 0.0000
Li 0.8377 2.8084 0.0000
Li 1.7125 2.5371 4.8360
Li 2.5837 5.4165 4.8128
Li 3.4105 0.5197 3.6617
Li 5.9128 1.2398 2.5106
Li 6.7840 4.1192 2.4874
Mn 4.2467 1.7951 6.0589
Mn 4.2498 4.8612 1.2644
Co 3.3862 2.0317 1.3143
Co 4.2482 3.3281 3.6617
Co 5.1103 4.6246 6.0091
O 2.6865 0.8291 5.5443
O 3.4779 3.4811 5.4588
O 1.7909 0.9233 0.5956
O 2.6788 2.3661 2.9943
O 3.4687 5.0006 2.9841
O 2.6991 3.8452 0.5598
O 5.7974 2.8111 6.7636
O 5.0278 1.6557 4.3392
O 5.8177 4.2902 4.3291
O 6.7056 5.7330 6.7277
O 5.0186 3.1751 1.8646
O 5.8100 5.8272 1.7791